Density functional theory data (GGA-PBE) for an optimized crystal structure of NaInGe2I6.

Mass density in Mg/m³: 4.27
Formation energy (no corrections) in eV per formula unit: -5.067
Crystal system: monoclinic
DOS at the Fermi energy in states/eV/cell: 0.0

a b c (Å): 10.2526 10.2526 7.9502
angles (deg): 97.45 97.45 80.80
With the nearest neighbours (Å) after each atom.
Sites, in units of the cell vectors:
Na  0.2366  0.7634  0.7500  6 I 3.21-3.35
Na  0.7634  0.2366  0.2500  6 I 3.21-3.35
In  0.4070  0.5930  0.2500  6 I 3.34-3.43
In  0.5930  0.4070  0.7500  6 I 3.34-3.43
Ge  0.1637  0.3301  0.4936  6 I 2.90-3.22
Ge  0.3301  0.1637  0.9936  6 I 2.90-3.22
Ge  0.6699  0.8363  0.0064  6 I 2.90-3.22
Ge  0.8363  0.6699  0.5064  6 I 2.90-3.22
I  0.0721  0.2141  0.1556  2 Ge 2.90-3.03
I  0.1036  0.6207  0.4010  2 Ge 2.92-3.11, 1 Na 3.21
I  0.2141  0.0721  0.6556  2 Ge 2.90-3.03
I  0.2839  0.4533  0.8610  2 Ge 3.20-3.22, 2 In 3.34-3.41, 1 Na 3.35
I  0.3793  0.8964  0.0990  2 Ge 2.92-3.11, 1 Na 3.21
I  0.4533  0.2839  0.3610  2 Ge 3.20-3.22, 2 In 3.34-3.41, 1 Na 3.35
I  0.5467  0.7161  0.6390  2 Ge 3.20-3.22, 2 In 3.34-3.41, 1 Na 3.35
I  0.6207  0.1036  0.9010  2 Ge 2.92-3.11, 1 Na 3.21
I  0.7161  0.5467  0.1390  2 Ge 3.20-3.22, 2 In 3.34-3.41, 1 Na 3.35
I  0.7859  0.9279  0.3444  2 Ge 2.90-3.03
I  0.8964  0.3793  0.5990  2 Ge 2.92-3.11, 1 Na 3.21
I  0.9279  0.7859  0.8444  2 Ge 2.90-3.03

Density functional theory data (GGA-PBE) for an optimized crystal structure of YSn2Bi.

Mass density in Mg/m³: 7.97
Crystal system: tetragonal
DOS at the Fermi energy in states/eV/cell: 2.6
Energy of formation from the pure elements in eV/atom: -0.38

a b c (Å): 4.7540 4.7540 4.9360
angles (deg): 90.00 90.00 90.00
With the nearest neighbours (Å) after each atom.
Sites, in units of the cell vectors:
Y  0.0000  0.0000  0.0000  4 Bi 3.36, 8 Sn 3.43
Sn  0.0000  0.5000  0.5000  4 Sn 3.36, 4 Bi 3.43, 4 Y 3.43
Sn  0.5000  0.0000  0.5000  4 Sn 3.36, 4 Bi 3.43, 4 Y 3.43
Bi  0.5000  0.5000  0.0000  4 Y 3.36, 8 Sn 3.43

Density functional theory data (GGA-PBE) for an optimized crystal structure of Nd2AsS.

Mass density in Mg/m³: 6.37
Formation energy (no corrections) in eV per formula unit: -7.181
Crystal system: trigonal
DOS at the Fermi energy in states/eV/cell: 1.7
Excess energy over the best structure of this formula in the dataset in meV per atom: 3

a b c (Å): 7.2078 7.2078 7.2078
angles (deg): 33.78 33.78 33.78
With the nearest neighbours (Å) after each atom.
Sites, in units of the cell vectors:
Nd  0.2494  0.2494  0.2494  3 S 2.95, 3 As 2.96
Nd  0.7506  0.7506  0.7506  3 S 2.95, 3 As 2.96
As  0.0000  0.0000  0.0000  6 Nd 2.96
S  0.5000  0.5000  0.5000  6 Nd 2.95

Density functional theory data (GGA-PBE) for an optimized crystal structure of Ag2RhSe.

Mass density in Mg/m³: 9.59
Formation energy (no corrections) in eV per formula unit: 0.941
Crystal system: tetragonal
DOS at the Fermi energy in states/eV/cell: 4.2

a b c (Å): 4.9283 4.9283 4.9283
angles (deg): 129.85 129.85 73.65
With the nearest neighbours (Å) after each atom.
Sites, in units of the cell vectors:
Ag  0.0000  0.0000  0.0000  4 Rh 2.87, 4 Ag 2.87, 4 Se 2.95
Ag  0.7500  0.2500  0.5000  4 Se 2.87, 4 Ag 2.87, 4 Rh 2.95
Rh  0.2500  0.7500  0.5000  4 Se 2.87, 8 Ag 2.87-2.95
Se  0.5000  0.5000  0.0000  8 Ag 2.87-2.95, 4 Rh 2.87

Density functional theory data (GGA-PBE) for an optimized crystal structure of LiCaTa.

Mass density in Mg/m³: 5.28
Crystal system: monoclinic
DOS at the Fermi energy in states/eV/cell: 5.1
Excess energy over the best structure of this formula in the dataset in meV per atom: 297
Energy of formation from the pure elements in eV/atom: 0.54

a b c (Å): 6.0597 6.0597 6.5544
angles (deg): 121.20 121.20 46.07
With the nearest neighbours (Å) after each atom.
Sites, in units of the cell vectors:
Li  0.0000  0.0000  0.0000  2 Li 2.78, 1 Ta 2.98
Li  0.6310  0.6310  0.0053  2 Li 2.78, 2 Ta 2.89-3.04, 3 Ca 3.02-3.09
Ca  0.2878  0.2878  0.9753  5 Li 3.02-3.30, 1 Ta 3.21
Ca  0.6398  0.6398  0.4849  1 Li 3.09, 6 Ta 3.22-3.34, 1 Ca 3.44
Ta  0.3595  0.3595  0.5233  2 Ta 2.55
Ta  0.9300  0.9300  0.4887  2 Ta 2.55

Density functional theory data (GGA-PBE) for an optimized crystal structure of Pm4Pt2N.

Mass density in Mg/m³: 9.54
Formation energy (no corrections) in eV per formula unit: -6.803
Crystal system: tetragonal
DOS at the Fermi energy in states/eV/cell: 6.4
Excess energy over the best structure of this formula in the dataset in meV per atom: 74

a b c (Å): 8.0887 8.0887 8.0887
angles (deg): 145.23 145.23 49.99
With the nearest neighbours (Å) after each atom.
Sites, in units of the cell vectors:
Pm  0.0000  0.5000  0.5000  2 N 2.42
Pm  0.1780  0.1780  0.0000  1 N 2.61, 1 Pt 2.81
Pm  0.5000  0.0000  0.5000  2 N 2.42
Pm  0.8220  0.8220  0.0000  1 N 2.61, 1 Pt 2.81
Pt  0.3699  0.3699  0.0000  5 Pm 2.81-3.08
Pt  0.6301  0.6301  0.0000  5 Pm 2.81-3.08
N  0.0000  0.0000  0.0000  6 Pm 2.42-2.61

Density functional theory data (GGA-PBE) for an optimized crystal structure of Pm3Pr6NdHo2.

Mass density in Mg/m³: 6.99
Crystal system: monoclinic
DOS at the Fermi energy in states/eV/cell: 16.6
Energy of formation from the pure elements in eV/atom: 0.01

a b c (Å): 6.3610 6.3610 12.0909
angles (deg): 95.03 95.03 120.01
With the nearest neighbours (Å) after each atom.
Sites, in units of the cell vectors:
Pm  0.0000  0.0000  0.0000  6 Pm 3.67, 6 Pr 3.67
Pm  0.3332  0.6668  0.0000  6 Pr 3.67-3.68, 6 Pm 3.67-3.68
Pm  0.6668  0.3332  0.0000  6 Pr 3.67-3.68, 6 Pm 3.67-3.68
Pr  0.0826  0.4169  0.2521  2 Ho 3.63, 1 Nd 3.64, 6 Pr 3.67-3.68, 3 Pm 3.67-3.68
Pr  0.2490  0.2490  0.7478  2 Ho 3.63, 1 Nd 3.63, 6 Pr 3.67-3.68, 3 Pm 3.67-3.68
Pr  0.4169  0.0826  0.2521  2 Ho 3.63, 1 Nd 3.64, 6 Pr 3.67-3.68, 3 Pm 3.67-3.68
Pr  0.5831  0.9174  0.7479  2 Ho 3.63, 1 Nd 3.64, 6 Pr 3.67-3.68, 3 Pm 3.67-3.68
Pr  0.7510  0.7510  0.2522  2 Ho 3.63, 1 Nd 3.63, 6 Pr 3.67-3.68, 3 Pm 3.67-3.68
Pr  0.9174  0.5831  0.7479  2 Ho 3.63, 1 Nd 3.64, 6 Pr 3.67-3.68, 3 Pm 3.67-3.68
Nd  0.5000  0.5000  0.5000  6 Pr 3.63-3.64, 6 Ho 3.67
Ho  0.1665  0.8335  0.5000  6 Pr 3.63, 3 Ho 3.67, 3 Nd 3.67
Ho  0.8335  0.1665  0.5000  6 Pr 3.63, 3 Ho 3.67, 3 Nd 3.67

Density functional theory data (GGA-PBE) for an optimized crystal structure of SrPr12Co6.

Mass density in Mg/m³: 6.50
Crystal system: cubic
DOS at the Fermi energy in states/eV/cell: 18.2
Energy of formation from the pure elements in eV/atom: -0.02

a b c (Å): 8.9131 8.9131 8.9131
angles (deg): 109.47 109.47 109.47
With the nearest neighbours (Å) after each atom.
Sites, in units of the cell vectors:
Sr  0.0000  0.0000  0.0000  12 Pr 3.83
Pr  0.1189  0.3159  0.8029  3 Co 2.75-2.99
Pr  0.1971  0.5130  0.3159  3 Co 2.75-2.99
Pr  0.1971  0.8811  0.6841  3 Co 2.75-2.99
Pr  0.3159  0.1971  0.5130  3 Co 2.75-2.99
Pr  0.3159  0.8029  0.1189  3 Co 2.75-2.99
Pr  0.4870  0.6841  0.8029  3 Co 2.75-2.99
Pr  0.5130  0.3159  0.1971  3 Co 2.75-2.99
Pr  0.6841  0.1971  0.8811  3 Co 2.75-2.99
Pr  0.6841  0.8029  0.4870  3 Co 2.75-2.99
Pr  0.8029  0.1189  0.3159  3 Co 2.75-2.99
Pr  0.8029  0.4870  0.6841  3 Co 2.75-2.99
Pr  0.8811  0.6841  0.1971  3 Co 2.75-2.99
Co  0.1089  0.5000  0.6089  1 Co 2.24
Co  0.3911  0.8911  0.5000  1 Co 2.24
Co  0.5000  0.3911  0.8911  1 Co 2.24
Co  0.5000  0.6089  0.1089  1 Co 2.24
Co  0.6089  0.1089  0.5000  1 Co 2.24
Co  0.8911  0.5000  0.3911  1 Co 2.24

Density functional theory data (GGA-PBE) for an optimized crystal structure of K2Hg2Br.

Mass density in Mg/m³: 4.36
Formation energy (no corrections) in eV per formula unit: -3.280
Crystal system: tetragonal
DOS at the Fermi energy in states/eV/cell: 8.1
Excess energy over the best structure of this formula in the dataset in meV per atom: 0

a b c (Å): 8.8847 8.8847 5.3922
angles (deg): 90.00 90.00 90.00
With the nearest neighbours (Å) after each atom.
Sites, in units of the cell vectors:
K  0.1867  0.3133  0.0000  2 Br 3.24, 2 Hg 3.61
K  0.3133  0.8133  0.0000  2 Br 3.24, 2 Hg 3.61
K  0.6867  0.1867  0.0000  2 Br 3.24, 2 Hg 3.61
K  0.8133  0.6867  0.0000  2 Br 3.24, 2 Hg 3.61
Hg  0.1221  0.6221  0.5000  1 Hg 3.07
Hg  0.3779  0.1221  0.5000  1 Hg 3.07
Hg  0.6221  0.8779  0.5000  1 Hg 3.07
Hg  0.8779  0.3779  0.5000  1 Hg 3.07
Br  0.0000  0.0000  0.0000  4 K 3.24
Br  0.5000  0.5000  0.0000  4 K 3.24

Density functional theory data (GGA-PBE) for an optimized crystal structure of Tm2SnSb.

Mass density in Mg/m³: 8.33
Formation energy (no corrections) in eV per formula unit: -3.075
Crystal system: monoclinic
DOS at the Fermi energy in states/eV/cell: 0.8
Excess energy over the best structure of this formula in the dataset in meV per atom: 87

a b c (Å): 4.1799 4.1799 7.9907
angles (deg): 105.20 105.20 60.06
With the nearest neighbours (Å) after each atom.
Sites, in units of the cell vectors:
Tm  0.2469  0.2469  0.2406  3 Sb 3.03, 3 Sn 3.12
Tm  0.7531  0.7531  0.7594  3 Sb 3.03, 3 Sn 3.12
Sn  0.0000  0.0000  0.5000  6 Tm 3.12
Sb  0.5000  0.5000  0.0000  6 Tm 3.03

Density functional theory data (GGA-PBE) for an optimized crystal structure of PrTl2Ag.

Mass density in Mg/m³: 10.39
Crystal system: tetragonal
DOS at the Fermi energy in states/eV/cell: 4.2
Energy of formation from the pure elements in eV/atom: -0.28

a b c (Å): 9.4447 9.4447 9.4447
angles (deg): 149.99 149.99 42.96
With the nearest neighbours (Å) after each atom.
Sites, in units of the cell vectors:
Pr  0.1324  0.1324  0.0000  4 Ag 3.20, 8 Tl 3.38-3.47
Pr  0.8676  0.8676  0.0000  4 Ag 3.20, 8 Tl 3.38-3.47
Tl  0.0000  0.5000  0.5000  4 Pr 3.38, 8 Tl 3.46-3.55
Tl  0.3538  0.3538  0.0000  4 Ag 3.05
Tl  0.5000  0.0000  0.5000  4 Pr 3.38, 8 Tl 3.46-3.55
Tl  0.6462  0.6462  0.0000  4 Ag 3.05
Ag  0.2500  0.7500  0.5000  4 Tl 3.05, 4 Pr 3.20
Ag  0.7500  0.2500  0.5000  4 Tl 3.05, 4 Pr 3.20

Density functional theory data (GGA-PBE) for an optimized crystal structure of HoTh3Pb5.

Mass density in Mg/m³: 11.71
Crystal system: hexagonal
DOS at the Fermi energy in states/eV/cell: 12.0
Energy of formation from the pure elements in eV/atom: -0.36

a b c (Å): 9.7199 9.7199 6.5738
angles (deg): 90.00 90.00 120.00
With the nearest neighbours (Å) after each atom.
Sites, in units of the cell vectors:
Ho  0.0000  0.0000  0.0000  6 Pb 3.16, 2 Ho 3.29
Ho  0.0000  0.0000  0.5000  6 Pb 3.16, 2 Ho 3.29
Th  0.0000  0.3846  0.2500  9 Pb 3.29-3.45
Th  0.0000  0.6154  0.7500  9 Pb 3.29-3.45
Th  0.3846  0.0000  0.2500  9 Pb 3.29-3.45
Th  0.3846  0.3846  0.7500  9 Pb 3.29-3.45
Th  0.6154  0.0000  0.7500  9 Pb 3.29-3.45
Th  0.6154  0.6154  0.2500  9 Pb 3.29-3.45
Pb  0.0000  0.2771  0.7500  2 Ho 3.16, 5 Th 3.29-3.45
Pb  0.0000  0.7229  0.2500  2 Ho 3.16, 5 Th 3.29-3.45
Pb  0.2771  0.0000  0.7500  2 Ho 3.16, 5 Th 3.29-3.45
Pb  0.2771  0.2771  0.2500  2 Ho 3.16, 5 Th 3.29-3.45
Pb  0.3333  0.6667  0.0000  2 Pb 3.29, 6 Th 3.44
Pb  0.3333  0.6667  0.5000  2 Pb 3.29, 6 Th 3.44
Pb  0.6667  0.3333  0.0000  2 Pb 3.29, 6 Th 3.44
Pb  0.6667  0.3333  0.5000  2 Pb 3.29, 6 Th 3.44
Pb  0.7229  0.0000  0.2500  2 Ho 3.16, 5 Th 3.29-3.45
Pb  0.7229  0.7229  0.7500  2 Ho 3.16, 5 Th 3.29-3.45